Material: Cs2Os2Pt
Method: DFT, GGA-PBEsol
State: relaxed

abc: 3.460 3.460 22.908
angles: 90.00 90.00 90.00
Space group I4/mmm (No. 139)
Unique sites:
1 Cs 0.000 0.000 0.103 (multiplicity 4)
2 Os 0.000 0.500 0.250 (multiplicity 4)
3 Pt 0.000 0.000 0.500 (multiplicity 2)

Calculated values
Spin magnetization   0.002 μB/cell
Crystal system   tetragonal
N(E_F)   6.68 states/eV/cell
Uncorrected energy   -5.609 eV per atom
Formation energy from the elements   1047 meV per atom

***

Material: CaMnCo
Method: DFT, GGA-PBEsol
State: relaxed

abc: 3.129 3.129 10.389
angles: 90.00 90.00 90.00
Space group I4mm (No. 107)
Unique sites:
1 Ca 0.000 0.000 0.000 (multiplicity 2)
2 Mn 0.000 0.000 0.283 (multiplicity 2)
3 Co 0.000 0.000 0.704 (multiplicity 2)

Calculated values
Excess energy over the best structure of this formula in the dataset   0 meV per atom
Spin magnetization   7.708 μB/cell
Crystal system   tetragonal
N(E_F)   4.14 states/eV/cell
Uncorrected energy   -6.157 eV per atom
Formation energy from the elements   386 meV per atom

***

Material: Ca2LaTe
Method: DFT, GGA-PBEsol
State: relaxed

abc: 4.684 4.684 11.819
angles: 90.00 90.00 90.00
Space group I4/mmm (No. 139)
Unique sites:
1 Ca 0.000 0.500 0.250 (multiplicity 4)
2 La 0.000 0.000 0.000 (multiplicity 2)
3 Te 0.000 0.000 0.500 (multiplicity 2)

Calculated values
Spin magnetization   0.000 μB/cell
Crystal system   tetragonal
N(E_F)   6.29 states/eV/cell
E_form (uncorrected)   -0.555 eV/atom
Uncorrected energy   -3.840 eV per atom

***

Material: AlCr2Os
Method: DFT, GGA-PBEsol
State: relaxed

abc: 2.925 4.202 8.097
angles: 90.00 90.00 90.00
Space group Imm2 (No. 44)
Unique sites:
1 Al 0.000 0.000 0.000 (multiplicity 2)
2 Cr 0.000 0.000 0.518 (multiplicity 2)
3 Cr 0.000 0.500 0.239 (multiplicity 2)
4 Os 0.000 0.500 0.764 (multiplicity 2)

Calculated values
Spin magnetization   0.084 μB/cell
Crystal system   orthorhombic
N(E_F)   5.48 states/eV/cell
Uncorrected energy   -9.312 eV per atom
Formation energy from the elements   -114 meV per atom

***

Material: Sr3MgGeN4
Method: DFT, GGA-PBEsol
State: relaxed

abc: 5.920 10.311 9.545
angles: 90.00 90.00 90.00
Space group Pnna (No. 52)
Unique sites:
1 Sr 0.113 0.153 0.091 (multiplicity 8)
2 Sr 0.250 0.000 0.407 (multiplicity 4)
3 Mg 0.155 0.250 0.750 (multiplicity 4)
4 Ge 0.250 0.000 0.732 (multiplicity 4)
5 N 0.013 0.083 0.837 (multiplicity 8)
6 N 0.116 0.637 0.872 (multiplicity 8)

Calculated values
Spin magnetization   0.000 μB/cell
Crystal system   orthorhombic
N(E_F)   0.00 states/eV/cell
E_form (uncorrected)   -0.804 eV/atom
Uncorrected energy   -5.947 eV per atom

***

Material: IrRh3
Method: DFT, GGA-PBEsol
State: relaxed

abc: 3.787 3.787 7.581
angles: 90.00 90.00 90.00
Space group I4/mmm (No. 139)
Unique sites:
1 Ir 0.000 0.000 0.000 (multiplicity 2)
2 Rh 0.000 0.000 0.500 (multiplicity 2)
3 Rh 0.000 0.500 0.250 (multiplicity 4)

Calculated values
Spin magnetization   0.000 μB/cell
Crystal system   tetragonal
N(E_F)   9.18 states/eV/cell
Uncorrected energy   -8.577 eV per atom
Formation energy from the elements   -18 meV per atom

***

Material: Be2AlAs
Method: DFT, GGA-PBEsol
State: relaxed

abc: 7.907 2.880 5.098
angles: 90.00 108.85 90.00
Space group C2/m (No. 12)
Unique sites:
1 Be 0.236 0.000 0.307 (multiplicity 4)
2 Al 0.000 0.000 0.500 (multiplicity 2)
3 As 0.000 0.500 0.000 (multiplicity 2)

Calculated values
Excess energy over the best structure of this formula in the dataset   16 meV per atom
Spin magnetization   0.000 μB/cell
Crystal system   monoclinic
N(E_F)   2.24 states/eV/cell
Uncorrected energy   -3.963 eV per atom
Formation energy from the elements   336 meV per atom

***

Material: BaMn2Os
Method: DFT, GGA-PBEsol
State: relaxed

abc: 6.704 6.704 6.704
angles: 90.00 90.00 90.00
Space group F-43m (No. 216)
Unique sites:
1 Ba 0.000 0.000 0.000 (multiplicity 4)
2 Mn 0.000 0.000 0.500 (multiplicity 4)
3 Mn 0.250 0.250 0.250 (multiplicity 4)
4 Os 0.250 0.250 0.750 (multiplicity 4)

Calculated values
Spin magnetization   31.503 μB/cell
Crystal system   cubic
N(E_F)   25.59 states/eV/cell
Uncorrected energy   -7.131 eV per atom
Formation energy from the elements   1341 meV per atom

***

Material: LiIn2Hg
Method: DFT, GGA-PBEsol
State: relaxed

abc: 3.3145 3.3145 28.1208
angles: 90.00 90.00 120.00
Space group R3m (No. 160, hexagonal axes)
Unique sites:
1 Li 0.0000 0.0000 0.0000 (multiplicity 3)
2 In 0.0000 0.0000 0.2525 (multiplicity 3)
3 In 0.0000 0.0000 0.4940 (multiplicity 3)
4 Hg 0.0000 0.0000 0.7385 (multiplicity 3)

Calculated values
Spin magnetization   0.001 μB/cell
Crystal system   trigonal
N(E_F)   4.35 states/eV/cell
Uncorrected energy   -2.281 eV per atom
Formation energy from the elements   -156 meV per atom

***

Material: Fe3RuO
Method: DFT, GGA-PBEsol
State: relaxed

abc: 4.434 4.434 4.434
angles: 90.00 90.00 90.00
Space group Pm-3m (No. 221)
Unique sites:
1 Fe 0.000 0.000 0.500 (multiplicity 3)
2 Ru 0.000 0.000 0.000 (multiplicity 1)
3 O 0.500 0.500 0.500 (multiplicity 1)

Calculated values
Spin magnetization   9.476 μB/cell
Crystal system   cubic
N(E_F)   9.54 states/eV/cell
E_form (uncorrected)   1.926 eV/atom
Uncorrected energy   -6.537 eV per atom

***

Material: Ga2Sn2Bi
Method: DFT, GGA-PBEsol
State: relaxed

abc: 3.843 3.843 16.534
angles: 90.00 90.00 90.00
Space group I4/mmm (No. 139)
Unique sites:
1 Ga 0.000 0.500 0.250 (multiplicity 4)
2 Sn 0.000 0.000 0.113 (multiplicity 4)
3 Bi 0.000 0.000 0.500 (multiplicity 2)

Calculated values
Excess energy over the best structure of this formula in the dataset   16 meV per atom
Spin magnetization   0.001 μB/cell
Crystal system   tetragonal
N(E_F)   5.54 states/eV/cell
Uncorrected energy   -3.834 eV per atom
Formation energy from the elements   63 meV per atom

***

Material: Ta2Ru
Method: DFT, GGA-PBEsol
State: relaxed

abc: 4.4358 4.4358 2.8329
angles: 90.00 90.00 120.00
Space group P-3m1 (No. 164)
Unique sites:
1 Ta 0.3333 0.6667 0.3190 (multiplicity 2)
2 Ru 0.0000 0.0000 0.0000 (multiplicity 1)

Calculated values
Spin magnetization   0.000 μB/cell
Crystal system   trigonal
N(E_F)   2.08 states/eV/cell
Uncorrected energy   -11.874 eV per atom
Formation energy from the elements   -116 meV per atom